# Mn2PbBr | the Alexandria database | PBE-GGA | relaxed
data_Mn2PbBr
_chemical_formula_sum 'Mn2 Pb1 Br1'
_space_group_name_H-M_alt 'P 4/m m m'
_space_group_IT_number 123
_space_group_name_Hall '-P 4 2'
_cell_length_a 3.3705
_cell_length_b 3.3705
_cell_length_c 7.7093
_cell_angle_alpha 90.00
_cell_angle_beta 90.00
_cell_angle_gamma 90.00
loop_
_atom_site_label
_atom_site_type_symbol
_atom_site_fract_x
_atom_site_fract_y
_atom_site_fract_z
Mn1 Mn 0.0000 0.0000 0.2482
Pb1 Pb 0.5000 0.5000 0.0000
Br1 Br 0.5000 0.5000 0.5000
# **Energy relative to the lowest polymorph listed for this composition**: 250.6 meV/atom
# **Final energy**: -5.52 eV/atom